Entry from the Alexandria database: a relaxed BiS2N crystal (PBE-GGA).

Cell: 3.8924 4.7517 5.3300 Å, 85.17 68.63 72.24°
Last column: nearest neighbours and their distance in Å.
Element x y z (fractional)
1 Bi 0.0000 0.0000 0.0000  2 N 2.33-2.40
2 S 0.2432 0.5138 0.3333  1 N 1.63
3 S 0.8090 0.5759 0.7224  1 S 2.12
4 N 0.3329 0.1820 0.2192  1 S 1.63

Polymorph energy (0 for the lowest one), eV per formula unit: 0.00
Density of states at the Fermi level, states/eV/cell: 0.1
Formation energy from raw total energies, eV per atom: 0.310

Entry from the Alexandria database: a relaxed BiS2N2 crystal (PBE-GGA).

Cell: 5.3097 5.3097 4.7281 Å, 90.00 90.00 90.00°
Last column: nearest neighbours and their distance in Å.
Element x y z (fractional)
1 Bi 0.0000 0.0000 0.0000  2 N 2.36
2 S 0.0000 0.5000 0.0000  2 Bi 2.65
3 S 0.5000 0.0000 0.0000  2 Bi 2.65
4 N 0.0000 0.0000 0.5000  2 Bi 2.36
5 N 0.5000 0.5000 0.5000  8 S 3.55, 4 N 3.75

Polymorph energy (0 for the lowest one), eV per formula unit: 10.96
Density of states at the Fermi level, states/eV/cell: 4.2
Formation energy from raw total energies, eV per atom: 2.185

| no. | volume (Å³/f.u.) |
| --- | --- |
| 1 | 87.4 |
| 2 | 133.3 |